Compound: TiV2Sn2S6
Source: Alexandria via LeMat-Bulk
Functional: PBE
Structure: optimized geometry

```
data_TiV2Sn2S6
_cell_length_a 5.845
_cell_length_b 10.104
_cell_length_c 7.854
_cell_angle_alpha 90.00
_cell_angle_beta 104.78
_cell_angle_gamma 90.00
_space_group_name_H-M_alt 'C 1 2/m 1'
_space_group_IT_number 12
_space_group_name_Hall '-C 2y'
loop_
_atom_site_label
_atom_site_type_symbol
_atom_site_fract_x
_atom_site_fract_y
_atom_site_fract_z
Ti1 Ti 0.000 0.000 0.000
V1 V 0.000 0.362 0.000
Sn1 Sn 0.000 0.293 0.500
S1 S 0.103 0.500 0.795
S2 S 0.111 0.173 0.823
```

Compound: Tl2Sn2S3
Source: Alexandria via LeMat-Bulk
Functional: PBE
Structure: optimized geometry

```
data_Tl2Sn2S3
_cell_length_a 16.748
_cell_length_b 3.713
_cell_length_c 6.995
_cell_angle_alpha 90.00
_cell_angle_beta 114.24
_cell_angle_gamma 90.00
_space_group_name_H-M_alt 'C 1 2/m 1'
_space_group_IT_number 12
_space_group_name_Hall '-C 2y'
loop_
_atom_site_label
_atom_site_type_symbol
_atom_site_fract_x
_atom_site_fract_y
_atom_site_fract_z
Tl1 Tl 0.126 0.000 0.492
Sn1 Sn 0.122 0.500 0.961
S1 S 0.000 0.000 0.000
S2 S 0.225 0.000 0.225
```

Calculated values
**E above lowest polymorph**: 95.4 meV per atom

Number 1: formation energy (no corrections) -0.81 eV/atom, calculated density 4.3 Mg/m³, DOS at the Fermi energy 0.601 states/eV per atom. Number 2: formation energy (no corrections) -0.31 eV/atom, calculated density 6.2 Mg/m³, DOS at the Fermi energy 0.060 states/eV per atom.